1.
Entry from the Alexandria database: a geometry-optimized CePuCd17 structure (GGA-PBE).

Its space group is R3m. The value obtained for the energy relative to the elements is -0.075 eV per atom.

Unit cell a=7.6868 b=7.6868 c=7.6868 alpha=81.99 beta=81.99 gamma=81.99
Last column: magnetic moment on the atom in μB.
Positions (direct):
Ce  0.6669  0.6669  0.6669  1.00
Pu  0.3292  0.3292  0.3292  5.54
Cd  0.3004  0.0012  0.6973  0.00
Cd  0.6973  0.3004  0.0012  0.00
Cd  0.0012  0.6973  0.3004  0.00
Cd  0.3004  0.6973  0.0012  0.00
Cd  0.0012  0.3004  0.6973  0.00
Cd  0.6973  0.0012  0.3004  0.00
Cd  0.3501  0.8636  0.3501  0.00
Cd  0.3501  0.3501  0.8636  0.00
Cd  0.8636  0.3501  0.3501  0.00
Cd  0.6292  0.1897  0.6292  0.00
Cd  0.6292  0.6292  0.1897  0.00
Cd  0.1897  0.6292  0.6292  0.00
Cd  0.9855  0.5159  0.9855  0.00
Cd  0.9855  0.9855  0.5159  0.00
Cd  0.5159  0.9855  0.9855  0.00
Cd  0.9039  0.9039  0.9039  0.00
Cd  0.1033  0.1033  0.1033  0.00

---

2.
Entry from the Alexandria database: a geometry-optimized CePuCdRh structure (GGA-PBE).

Its space group is F-43m. The value obtained for the energy relative to the elements is -0.198 eV per atom.

Unit cell a=5.1108 b=5.1108 c=5.1108 alpha=60.00 beta=60.00 gamma=60.00
Last column: magnetic moment on the atom in μB.
Positions (direct):
Cd  0.5000  0.5000  0.5000  0.01
Rh  0.0000  0.0000  0.0000  -0.27
Ce  0.7500  0.7500  0.7500  0.63
Pu  0.2500  0.2500  0.2500  5.33

---

3.
Entry from the Alexandria database: a geometry-optimized CePuCdSb structure (GGA-PBE).

Its space group is F-43m. As for the raw formation energy: -0.37 eV/atom.

Unit cell a=5.3838 b=5.3838 c=5.3838 alpha=60.00 beta=60.00 gamma=60.00
Last column: magnetic moment on the atom in μB.
Positions (direct):
Sb  0.2500  0.2500  0.2500  -0.04
Cd  0.7500  0.7500  0.7500  0.05
Ce  0.0000  0.0000  0.0000  1.13
Pu  0.5000  0.5000  0.5000  5.67

---

4.
Entry from the Alexandria database: a geometry-optimized CePuCdTc structure (GGA-PBE).

Its space group is P4mm. The value obtained for the energy relative to the elements is -0.062 eV per atom.

Unit cell a=3.2612 b=3.2612 c=8.7129 alpha=90.00 beta=90.00 gamma=90.00
Last column: magnetic moment on the atom in μB.
Positions (direct):
Ce  0.5000  0.5000  0.7772  0.48
Pu  0.5000  0.5000  0.3645  5.16
Cd  0.0000  0.0000  0.0758  0.02
Tc  0.0000  0.0000  0.5672  -0.48

---

D(E_F) list, top to bottom, in states/eV/atom: 1.404; 2.868; 4.145; 2.331
Calculated volume list, top to bottom, in Å³ per cell: 442.04; 94.40; 110.35; 92.67